Below is crystalline La2Al6CuAu at its relaxed geometry, with properties calculated at the GGA-PBEsol level.

Computed properties:
Formation energy: -567 meV per atom
Crystal system: tetragonal

Cell lengths 4.291, 4.291, 10.754 Å; angles 90.00, 90.00, 90.00 degrees
Sites, in units of the cell vectors:
Al (0.500, 0.000, 0.243)
Al (0.500, 0.500, 0.909)
Al (0.500, 0.000, 0.755)
Al (0.000, 0.500, 0.755)
Al (0.000, 0.000, 0.396)
Al (0.000, 0.500, 0.243)
Au (0.000, 0.000, 0.628)
Cu (0.500, 0.500, 0.131)
La (0.500, 0.500, 0.490)
La (0.000, 0.000, 0.997)